First-principles (PBE-GGA) data for crystalline HoEr3In4 at its relaxed geometry, as listed in Alexandria via LeMat-Bulk.

```
HoEr3In4
1.0
10.697 0.000 0.000
0.000 7.142 0.000
0.000 0.000 5.449
Ho Er In
2 6 8
Direct
0.000 0.000 0.000
0.500 0.000 0.000
0.000 0.500 0.000
0.250 0.000 0.425
0.250 0.500 0.424
0.500 0.500 0.000
0.750 0.000 0.575
0.750 0.500 0.576
0.000 0.251 0.500
0.000 0.749 0.500
0.250 0.251 0.916
0.250 0.749 0.916
0.500 0.251 0.500
0.500 0.749 0.500
0.750 0.251 0.084
0.750 0.749 0.084
```

Calculated values
Its total energy is -4.095 eV/atom. The space group is Pmma. For the formation energy, the calculation gives -3.544 eV/f.u. The total magnetic moment comes out at 0.00 μB per cell. Its crystal system is orthorhombic.



First-principles (PBE-GGA) data for crystalline HoErIn2 at its relaxed geometry, as listed in Alexandria via LeMat-Bulk.

```
HoErIn2
1.0
1.830 1.056 9.684
-1.830 1.056 9.684
0.000 -2.113 9.684
Ho Er In
1 1 2
Direct
0.000 0.000 0.000
0.500 0.500 0.500
0.250 0.250 0.250
0.750 0.750 0.750
```

Calculated values
Its total energy is -3.977 eV/atom. The space group is R-3m. For the formation energy, the calculation gives -1.289 eV/f.u. The total magnetic moment comes out at 0.00 μB per cell. Its crystal system is trigonal.



First-principles (PBE-GGA) data for crystalline Ho3ErIn3 at its relaxed geometry, as listed in Alexandria via LeMat-Bulk.

```
Ho3ErIn3
1.0
9.273 0.000 0.000
-4.636 8.030 0.000
0.000 0.000 5.154
Ho Er In
6 2 6
Direct
0.004 0.234 0.250
0.230 0.996 0.250
0.234 0.230 0.750
0.766 0.770 0.250
0.770 0.004 0.750
0.996 0.766 0.750
0.333 0.667 0.250
0.667 0.333 0.750
0.073 0.455 0.750
0.383 0.927 0.750
0.455 0.383 0.250
0.545 0.617 0.750
0.617 0.073 0.250
0.927 0.545 0.250
```

Calculated values
Its total energy is -4.108 eV/atom. The space group is P6_3/m. For the formation energy, the calculation gives -2.244 eV/f.u. The total magnetic moment comes out at 0.00 μB per cell. Its crystal system is hexagonal.



First-principles (PBE-GGA) data for crystalline Ho3Er4In at its relaxed geometry, as listed in Alexandria via LeMat-Bulk.

```
Ho3Er4In
1.0
13.740 -1.790 0.000
13.740 1.790 0.000
-0.141 0.000 5.147
Ho Er In
3 4 1
Direct
0.000 0.000 0.000
0.155 0.155 0.735
0.845 0.845 0.265
0.282 0.282 0.754
0.402 0.402 0.778
0.598 0.598 0.222
0.718 0.718 0.246
0.500 0.500 0.500
```

Calculated values
Its total energy is -4.259 eV/atom. The space group is C2/m. For the formation energy, the calculation gives 0.652 eV/f.u. The total magnetic moment comes out at 0.00 μB per cell. Its crystal system is monoclinic.



First-principles (PBE-GGA) data for crystalline HoErIn at its relaxed geometry, as listed in Alexandria via LeMat-Bulk.

```
HoErIn
1.0
5.200 0.000 0.000
-2.600 4.504 0.000
0.000 0.000 3.595
Ho Er In
1 1 1
Direct
0.000 0.000 0.000
0.667 0.333 0.444
0.333 0.667 0.707
```

Calculated values
Its total energy is -4.179 eV/atom. The space group is P3m1. For the formation energy, the calculation gives -0.659 eV/f.u. The total magnetic moment comes out at 0.00 μB per cell. Its crystal system is trigonal.



First-principles (PBE-GGA) data for crystalline Ho5ErIn2 at its relaxed geometry, as listed in Alexandria via LeMat-Bulk.

```
Ho5ErIn2
1.0
-1.757 5.244 6.333
1.757 -5.244 6.333
1.757 5.244 -6.333
Ho Er In
5 1 2
Direct
0.000 0.000 0.000
0.096 0.367 0.729
0.362 0.633 0.729
0.638 0.367 0.271
0.904 0.633 0.271
0.500 0.000 0.500
0.260 0.260 0.000
0.740 0.740 0.000
```

Calculated values
Its total energy is -4.278 eV/atom. The space group is Immm. For the formation energy, the calculation gives -1.293 eV/f.u. The total magnetic moment comes out at 0.00 μB per cell. Its crystal system is orthorhombic.